(1)
CsLiTeS3 after structural relaxation, computed with PBE-GGA.

Output
- Formation energy (no corrections): -0.67 eV/atom

a b c (Å): 7.9987 7.9987 10.4038
angles (deg): 90.00 90.00 150.90
Fractional positions:
Cs  0.2384  0.7616  0.7500
Cs  0.7616  0.2384  0.2500
Li  0.0361  0.9639  0.2500
Li  0.9639  0.0361  0.7500
Te  0.5000  0.5000  0.0000
Te  0.5000  0.5000  0.5000
S  0.1131  0.8869  0.0472
S  0.1131  0.8869  0.4528
S  0.4497  0.5503  0.2500
S  0.5503  0.4497  0.7500
S  0.8869  0.1131  0.5472
S  0.8869  0.1131  0.9528

---

(2)
Hf2ZrH after structural relaxation, computed with PBE-GGA.

Output
- E above lowest polymorph: 0.350 eV/atom

a b c (Å): 3.0333 3.0333 7.6221
angles (deg): 90.00 90.00 90.00
Fractional positions:
Hf  0.0000  0.0000  0.1914
Hf  0.0000  0.0000  0.8086
Zr  0.5000  0.5000  0.5000
H  0.5000  0.5000  0.0000

---

(3)
DyGaCl6 after structural relaxation, computed with PBE-GGA.

Output
- Formation energy (no corrections): -1.59 eV/atom

a b c (Å): 7.0827 7.0827 6.2908
angles (deg): 97.45 97.45 127.18
Fractional positions:
Dy  0.0000  0.0000  0.0000
Ga  0.5000  0.5000  0.5000
Cl  0.1430  0.4109  0.2754
Cl  0.2575  0.2575  0.7408
Cl  0.4109  0.1430  0.2754
Cl  0.5891  0.8570  0.7246
Cl  0.7425  0.7425  0.2592
Cl  0.8570  0.5891  0.7246

---

(4)
Fe2Ag2Br7 after structural relaxation, computed with PBE-GGA.

Output
- Formation energy (no corrections): -0.38 eV/atom
- E above lowest polymorph: 0.016 eV/atom

a b c (Å): 7.5914 7.5914 6.9862
angles (deg): 104.29 104.29 96.69
Fractional positions:
Fe  0.2093  0.2093  0.4065
Fe  0.7907  0.7907  0.5935
Ag  0.3100  0.6900  0.0000
Ag  0.6900  0.3100  0.0000
Br  0.0000  0.0000  0.5000
Br  0.0512  0.3935  0.2181
Br  0.3935  0.0512  0.2181
Br  0.4168  0.4168  0.7216
Br  0.5832  0.5832  0.2784
Br  0.6065  0.9488  0.7819
Br  0.9488  0.6065  0.7819

---

(5)
Nb2SbTe3 after structural relaxation, computed with PBE-GGA.

Output
- Formation energy (no corrections): -0.32 eV/atom

a b c (Å): 7.3430 7.3430 6.6905
angles (deg): 90.00 90.00 120.00
Fractional positions:
Nb  0.0000  0.0000  0.0000
Nb  0.0000  0.5000  0.0000
Nb  0.5000  0.0000  0.0000
Nb  0.5000  0.5000  0.0000
Sb  0.3333  0.6667  0.7185
Sb  0.6667  0.3333  0.2815
Te  0.1672  0.3345  0.2761
Te  0.1672  0.8328  0.2761
Te  0.3345  0.1672  0.7239
Te  0.6655  0.8328  0.2761
Te  0.8328  0.1672  0.7239
Te  0.8328  0.6655  0.7239

---

(6)
TmMgCdIn after structural relaxation, computed with PBE-GGA.

Output
- ΔE_f: -120 kJ/mol of formula units
- E above lowest polymorph: 0.000 eV/atom

a b c (Å): 4.1684 4.7270 4.8095
angles (deg): 90.00 90.00 90.00
Fractional positions:
Tm  0.0000  0.0000  0.0000
Mg  0.0000  0.5000  0.5000
Cd  0.5000  0.0000  0.5000
In  0.5000  0.5000  0.0000

---

Per-record total moment, μB/f.u.: 0.00, 0.00, 0.00, 9.00, 0.00, 0.00
Per-record final energy, Ry per atom: -0.2734, -0.5675, -0.2888, -0.2571, -0.4358, -0.2014